# 1
An optimized crystal structure of Sr3CePd8, computed with PBE.

Values from the calculation:
uncorrected energy = -5.011 eV/atom

The structure in POSCAR format:
```
Sr3CePd8
1.0
2.797 1.615 9.086
-2.797 1.615 9.086
0.000 -3.230 9.086
Sr Ce Pd
3 1 8
Direct
0.000 0.000 0.000
0.124 0.124 0.124
0.627 0.627 0.627
0.500 0.500 0.500
0.062 0.062 0.559
0.062 0.559 0.062
0.068 0.564 0.564
0.313 0.313 0.313
0.559 0.062 0.062
0.564 0.068 0.564
0.564 0.564 0.068
0.813 0.813 0.813
```

# 2
An optimized crystal structure of Tb4Tl2AsSe, computed with PBE.

Values from the calculation:
raw formation energy = -1.00 eV per atom

The structure in POSCAR format:
```
Tb4Tl2AsSe
1.0
6.952 0.000 0.000
0.000 4.004 0.000
-2.311 0.000 7.901
Tb Tl As Se
4 2 1 1
Direct
0.234 0.000 0.215
0.256 0.500 0.782
0.744 0.500 0.218
0.766 0.000 0.785
0.000 0.000 0.500
0.500 0.500 0.500
0.000 0.500 0.000
0.500 0.000 0.000
```

# 3
An optimized crystal structure of PuIr4Pb, computed with PBE.

Values from the calculation:
uncorrected energy = -9.096 eV/atom

The structure in POSCAR format:
```
PuIr4Pb
1.0
0.000 3.795 3.795
3.795 0.000 3.795
3.795 3.795 0.000
Pu Ir Pb
1 4 1
Direct
0.000 0.000 0.000
0.375 0.375 0.375
0.375 0.375 0.874
0.375 0.874 0.375
0.874 0.375 0.375
0.750 0.750 0.750
```

# 4
An optimized crystal structure of VGa3Tc, computed with PBE.

Values from the calculation:
offset from the most stable computed form = 3.431 eV per formula unit

The structure in POSCAR format:
```
VGa3Tc
1.0
4.750 0.000 0.000
0.000 4.750 0.000
0.000 0.000 4.750
V Ga Tc
1 3 1
Direct
0.000 0.000 0.000
0.000 0.500 0.500
0.500 0.000 0.500
0.500 0.500 0.000
0.500 0.500 0.500
```

# 5
An optimized crystal structure of NdSi2Ru, computed with PBE.

Values from the calculation:
raw formation energy = -0.74 eV per atom
offset from the most stable computed form = 0.390 eV per formula unit

The structure in POSCAR format:
```
NdSi2Ru
1.0
2.042 1.179 5.188
-2.042 1.179 5.188
0.000 -2.358 5.188
Nd Si Ru
1 2 1
Direct
0.000 0.000 0.000
0.209 0.209 0.209
0.791 0.791 0.791
0.500 0.500 0.500
```

# 6
An optimized crystal structure of MgNbSb2, computed with PBE.

Values from the calculation:
raw formation energy = -0.03 eV per atom

The structure in POSCAR format:
```
MgNbSb2
1.0
1.730 0.999 9.873
-1.730 0.999 9.873
0.000 -1.998 9.873
Mg Nb Sb
1 1 2
Direct
0.000 0.000 0.000
0.500 0.500 0.500
0.099 0.099 0.099
0.901 0.901 0.901
```

# 7
An optimized crystal structure of Y2MgW, computed with PBE.

Values from the calculation:
uncorrected energy = -6.437 eV/atom

The structure in POSCAR format:
```
Y2MgW
1.0
3.639 -4.001 0.000
3.639 4.001 0.000
0.000 0.000 3.289
Y Mg W
2 1 1
Direct
0.000 0.500 0.000
0.500 0.000 0.000
0.000 0.000 0.500
0.500 0.500 0.500
```

# 8
An optimized crystal structure of NbAgIO2, computed with PBE.

Values from the calculation:
raw formation energy = 0.75 eV per atom
offset from the most stable computed form = 9.405 eV per formula unit

The structure in POSCAR format:
```
NbAgIO2
1.0
4.190 0.000 0.000
0.000 4.190 0.000
0.000 0.000 5.403
Nb Ag I O
1 1 1 2
Direct
0.000 0.000 0.000
0.500 0.500 0.500
0.500 0.500 0.000
0.000 0.500 0.500
0.500 0.000 0.500
```

# 9
An optimized crystal structure of LaZr2Br, computed with PBE.

Values from the calculation:
raw formation energy = 0.02 eV per atom
offset from the most stable computed form = 1.149 eV per formula unit

The structure in POSCAR format:
```
LaZr2Br
1.0
-1.673 2.894 5.484
1.673 -2.894 5.484
1.673 2.894 -5.484
La Zr Br
1 2 1
Direct
0.000 0.000 0.000
0.291 0.791 0.500
0.525 0.525 0.000
0.732 0.232 0.500
```

# 10
An optimized crystal structure of CdBi2Sb2, computed with PBE.

Values from the calculation:
raw formation energy = 0.17 eV per atom
offset from the most stable computed form = 0.413 eV per formula unit

The structure in POSCAR format:
```
CdBi2Sb2
1.0
8.528 0.000 0.000
0.000 8.528 0.000
0.000 0.000 4.206
Cd Bi Sb
2 4 4
Direct
0.000 0.000 0.000
0.500 0.500 0.000
0.149 0.351 0.500
0.351 0.851 0.500
0.649 0.149 0.500
0.851 0.649 0.500
0.159 0.659 0.000
0.341 0.159 0.000
0.659 0.841 0.000
0.841 0.341 0.000
```

# 11
An optimized crystal structure of InSi2P, computed with PBE.

Values from the calculation:
raw formation energy = 0.40 eV per atom
offset from the most stable computed form = 1.116 eV per formula unit

The structure in POSCAR format:
```
InSi2P
1.0
3.268 0.000 0.000
0.000 3.268 0.000
0.000 0.000 6.823
In Si P
1 2 1
Direct
0.000 0.000 0.000
0.500 0.500 0.317
0.500 0.500 0.683
0.000 0.000 0.500
```

# 12
An optimized crystal structure of Cd3ICl5, computed with PBE.

Values from the calculation:
raw formation energy = -0.95 eV per atom

The structure in POSCAR format:
```
Cd3ICl5
1.0
6.406 -4.534 0.000
6.406 4.534 0.000
-5.283 0.000 9.178
Cd I Cl
6 2 10
Direct
0.000 0.000 0.000
0.000 0.000 0.500
0.320 0.320 0.369
0.350 0.350 0.839
0.650 0.650 0.161
0.680 0.680 0.631
0.110 0.110 0.805
0.890 0.890 0.195
0.021 0.644 0.823
0.232 0.232 0.546
0.313 0.687 0.500
0.356 0.979 0.177
0.439 0.439 0.122
0.561 0.561 0.878
0.644 0.021 0.823
0.687 0.313 0.500
0.768 0.768 0.454
0.979 0.356 0.177
```